Entry 1:
# Cu2Ag

Crystalline Cu2Ag at its relaxed geometry (GGA-PBE, OQMD).

Geometry as extended XYZ:
```
9
Lattice="4.6859 -1.3825 0.0000 4.6859 1.3825 0.0000 -3.8122 0.0000 9.6266" Properties=species:S:1:pos:R:3 pbc="T T T"
Ag -1.9061 0.0000 4.8133
Cu 4.8929 0.0000 3.7367
Cu -0.4244 0.0000 9.4064
Cu 0.6667 0.0000 5.8899
Ag 2.2305 0.0000 2.3865
Cu 5.8588 0.0000 8.0009
Cu 5.9839 0.0000 0.2201
Ag 3.3291 0.0000 7.2401
Cu -0.2992 0.0000 1.6257
```

Values from the calculation:
Volume, Å³ per cell: 125
Formation energy from the elements, eV per atom: 0.081
ΔE to the lowest computed polymorph, meV/atom: 34.9
Total energy, eV for the cell shown: -30.049

Entry 2:
# SrOsNO

Crystalline SrOsNO at its relaxed geometry (GGA-PBE, OQMD).

Geometry as extended XYZ:
```
8
Lattice="4.7068 0.0000 0.0000 0.0000 4.7068 0.0000 0.0000 0.0000 5.3536" Properties=species:S:1:pos:R:3 pbc="T T T"
Os 3.5301 3.5301 0.0919
Sr 3.5301 1.1767 2.6768
N 1.1767 1.1767 3.4022
N 3.5301 3.5301 1.9514
O 1.1767 3.5301 0.0000
O 3.5301 1.1767 0.0000
Os 1.1767 1.1767 5.2617
Sr 1.1767 3.5301 2.6768
```

Values from the calculation:
Volume, Å³ per cell: 119
Size of the total moment, μB per formula unit: 3.0
ΔE to the lowest computed polymorph, meV/atom: 984.8
Total energy, eV for the cell shown: -51.314